This record from Alexandria via LeMat-Bulk describes crystalline La3Tb2Th2 at its relaxed geometry. The functional is GGA-PBE.

Cell: 17.696 3.523 8.750 Å, 90.00 119.58 90.00°
Space group C2/m (No. 12)
Asymmetric unit:
La 0.000 0.000 0.000 (multiplicity 2)
La 0.217 0.000 0.148 (multiplicity 4)
Tb 0.062 0.500 0.716 (multiplicity 4)
Th 0.151 0.000 0.459 (multiplicity 4)

Calculated values
ΔH_f (0 K), meV/atom: 127
DOS at the Fermi energy, states/eV per atom: 1.5754